Entry 1:
This record from Alexandria via LeMat-Bulk describes a relaxed structure of Ga2BiI. The functional is PBE-GGA.

The formation energy (no corrections) comes out at 113 meV/atom.

```
8
Lattice="-3.833 3.833 4.894 3.833 -3.833 4.894 3.833 3.833 -4.894" Properties=species:S:1:pos:R:3 pbc="T T T"
Ga 1.916 1.726 -1.224
Ga 2.106 -1.916 6.118
Ga 1.916 2.106 3.671
Ga 1.726 5.749 1.224
Bi 0.000 0.000 0.000
Bi 0.000 3.833 2.447
I 3.833 0.000 2.447
I 0.000 0.000 4.894
```


Entry 2:
This record from Alexandria via LeMat-Bulk describes a relaxed structure of Hf3ThSc7. The functional is PBE-GGA.

The calculation puts the formation enthalpy at 0 K at 267.5 meV/atom.

```
11
Lattice="6.442 0.000 0.000 -3.221 5.579 0.000 0.000 0.000 7.802" Properties=species:S:1:pos:R:3 pbc="T T T"
Hf 0.000 1.863 0.000
Hf -1.608 4.648 0.000
Hf 1.608 4.648 0.000
Th 0.000 0.000 2.667
Sc -1.604 2.793 2.534
Sc 1.599 0.923 5.300
Sc 0.000 3.719 5.257
Sc 1.604 2.793 2.534
Sc 0.000 5.571 2.534
Sc 4.844 0.923 5.300
Sc 3.221 3.733 5.300
```


Copy entry 2 word for word.
This record from Alexandria via LeMat-Bulk describes a relaxed structure of Hf3ThSc7. The functional is PBE-GGA.

The calculation puts the formation enthalpy at 0 K at 267.5 meV/atom.

```
11
Lattice="6.442 0.000 0.000 -3.221 5.579 0.000 0.000 0.000 7.802" Properties=species:S:1:pos:R:3 pbc="T T T"
Hf 0.000 1.863 0.000
Hf -1.608 4.648 0.000
Hf 1.608 4.648 0.000
Th 0.000 0.000 2.667
Sc -1.604 2.793 2.534
Sc 1.599 0.923 5.300
Sc 0.000 3.719 5.257
Sc 1.604 2.793 2.534
Sc 0.000 5.571 2.534
Sc 4.844 0.923 5.300
Sc 3.221 3.733 5.300
```


> What is the formula in the second record?

Hf3ThSc7